14
Lattice="4.2379 0.0000 0.0000 0.0000 7.0134 0.0000 0.0000 0.0000 8.3669" Properties=species:S:1:pos:R:3 comment="GGA+U YMnF5, optimized geometry" sg="Immm (71)" dft_energy_ev_per_cell=-93.8 pbc="T T T"
Y 0.0000 0.0000 0.0000
Y 2.1189 3.5067 4.1835
Mn 0.0000 0.0000 4.1835
Mn 2.1189 3.5067 0.0000
F 0.0000 0.0000 2.1991
F 0.0000 0.0000 6.1678
F 0.0000 2.1975 0.0000
F 0.0000 3.5067 4.1835
F 0.0000 4.8158 0.0000
F 2.1189 0.0000 0.0000
F 2.1189 1.3092 4.1835
F 2.1189 3.5067 1.9844
F 2.1189 3.5067 6.3826
F 2.1189 5.7042 4.1835